Material: KCa2Sb
Method: DFT, GGA-PBE
State: optimized geometry

Cell lengths 5.263, 5.263, 9.948 Å; angles 90.00, 90.00, 90.00 degrees
Space group I4/mmm (No. 139)
Unique sites:
K1 0.000 0.000 0.000 x2
Ca1 0.000 0.500 0.250 x4
Sb1 0.000 0.000 0.500 x2

Summary:
formation energy from raw total energies = -259 meV/atom
total energy = -20.5 eV for the cell shown